Entry 1:
# Ti2CoRh (PBE-GGA, relaxed)
data_Ti2CoRh
_chemical_formula_sum 'Ti2 Co1 Rh1'
_cell_length_a 4.287
_cell_length_b 4.287
_cell_length_c 3.097
_cell_angle_alpha 90.00
_cell_angle_beta 90.00
_cell_angle_gamma 90.00
_space_group_name_H-M_alt 'P 4/m m m'
_space_group_IT_number 123
_space_group_name_Hall '-P 4 2'
loop_
_atom_site_label
_atom_site_type_symbol
_atom_site_fract_x
_atom_site_fract_y
_atom_site_fract_z
Ti1 Ti 0.000 0.500 0.000
Co1 Co 0.000 0.000 0.500
Rh1 Rh 0.500 0.500 0.500
# - energy of formation (eV/f.u.) = -2.19

Entry 2:
# Ti2Co2Rh (PBE-GGA, relaxed)
data_Ti2Co2Rh
_chemical_formula_sum 'Ti4 Co4 Rh2'
_cell_length_a 6.865
_cell_length_b 6.865
_cell_length_c 2.877
_cell_angle_alpha 90.00
_cell_angle_beta 90.00
_cell_angle_gamma 90.00
_space_group_name_H-M_alt 'P 4/m b m'
_space_group_IT_number 127
_space_group_name_Hall '-P 4 2ab'
loop_
_atom_site_label
_atom_site_type_symbol
_atom_site_fract_x
_atom_site_fract_y
_atom_site_fract_z
Ti1 Ti 0.158 0.342 0.000
Co1 Co 0.139 0.639 0.500
Rh1 Rh 0.000 0.000 0.000
# - energy of formation (eV/f.u.) = -1.29
# - ΔE to the lowest computed polymorph (eV/atom) = 0.140

Entry 3:
# Ti2Co2Rh (PBE-GGA, relaxed)
data_Ti2Co2Rh
_chemical_formula_sum 'Ti2 Co2 Rh1'
_cell_length_a 4.1270
_cell_length_b 4.1270
_cell_length_c 4.9162
_cell_angle_alpha 90.00
_cell_angle_beta 90.00
_cell_angle_gamma 120.00
_space_group_name_H-M_alt 'P -3 m 1'
_space_group_IT_number 164
_space_group_name_Hall '-P 3 2"'
loop_
_atom_site_label
_atom_site_type_symbol
_atom_site_fract_x
_atom_site_fract_y
_atom_site_fract_z
Ti1 Ti 0.3333 0.6667 0.2050
Co1 Co 0.3333 0.6667 0.6785
Rh1 Rh 0.0000 0.0000 0.0000
# - energy of formation (eV/f.u.) = -0.91
# - ΔE to the lowest computed polymorph (eV/atom) = 0.217

Entry 4:
# Ti7Co2Rh2 (PBE-GGA, relaxed)
data_Ti7Co2Rh2
_chemical_formula_sum 'Ti14 Co4 Rh4'
_cell_length_a 6.837
_cell_length_b 9.027
_cell_length_c 5.955
_cell_angle_alpha 90.00
_cell_angle_beta 90.00
_cell_angle_gamma 90.00
_space_group_name_H-M_alt 'C m m m'
_space_group_IT_number 65
_space_group_name_Hall '-C 2 2'
loop_
_atom_site_label
_atom_site_type_symbol
_atom_site_fract_x
_atom_site_fract_y
_atom_site_fract_z
Ti1 Ti 0.000 0.000 0.000
Ti2 Ti 0.000 0.500 0.253
Ti3 Ti 0.250 0.250 0.259
Co1 Co 0.000 0.288 0.000
Rh1 Rh 0.192 0.000 0.500
# - energy of formation (eV/f.u.) = -1.42

Entry 5:
# Ti2CoRh3 (PBE-GGA, relaxed)
data_Ti2CoRh3
_chemical_formula_sum 'Ti8 Co4 Rh12'
_cell_length_a 5.383
_cell_length_b 12.158
_cell_length_c 5.415
_cell_angle_alpha 90.00
_cell_angle_beta 90.00
_cell_angle_gamma 90.00
_space_group_name_H-M_alt 'I b a m'
_space_group_IT_number 72
_space_group_name_Hall '-I 2 2c'
loop_
_atom_site_label
_atom_site_type_symbol
_atom_site_fract_x
_atom_site_fract_y
_atom_site_fract_z
Ti1 Ti 0.246 0.140 0.000
Co1 Co 0.000 0.000 0.250
Rh1 Rh 0.000 0.500 0.250
Rh2 Rh 0.232 0.162 0.500
# - energy of formation (eV/f.u.) = -2.27

Entry 6:
# TiTlCo2Rh (PBE-GGA, relaxed)
data_TiTlCo2Rh
_chemical_formula_sum 'Ti1 Tl1 Co2 Rh1'
_cell_length_a 4.613
_cell_length_b 4.613
_cell_length_c 4.907
_cell_angle_alpha 90.00
_cell_angle_beta 90.00
_cell_angle_gamma 90.00
_space_group_name_H-M_alt 'P 4/m m m'
_space_group_IT_number 123
_space_group_name_Hall '-P 4 2'
loop_
_atom_site_label
_atom_site_type_symbol
_atom_site_fract_x
_atom_site_fract_y
_atom_site_fract_z
Ti1 Ti 0.000 0.000 0.000
Tl1 Tl 0.500 0.500 0.500
Co1 Co 0.000 0.500 0.500
Rh1 Rh 0.500 0.500 0.000
# - energy of formation (eV/f.u.) = 8.36

Entry 7:
# TmTiCoRh (PBE-GGA, relaxed)
data_TmTiCoRh
_chemical_formula_sum 'Tm4 Ti4 Co4 Rh4'
_cell_length_a 6.392
_cell_length_b 6.392
_cell_length_c 6.392
_cell_angle_alpha 90.00
_cell_angle_beta 90.00
_cell_angle_gamma 90.00
_space_group_name_H-M_alt 'F -4 3 m'
_space_group_IT_number 216
_space_group_name_Hall 'F -4 2 3'
loop_
_atom_site_label
_atom_site_type_symbol
_atom_site_fract_x
_atom_site_fract_y
_atom_site_fract_z
Tm1 Tm 0.000 0.000 0.000
Ti1 Ti 0.000 0.000 0.500
Co1 Co 0.250 0.250 0.250
Rh1 Rh 0.250 0.250 0.750
# - energy of formation (eV/f.u.) = -1.87

Entry 8:
# YTiCo2Rh (PBE-GGA, relaxed)
data_YTiCo2Rh
_chemical_formula_sum 'Y1 Ti1 Co2 Rh1'
_cell_length_a 4.508
_cell_length_b 4.508
_cell_length_c 4.843
_cell_angle_alpha 90.00
_cell_angle_beta 90.00
_cell_angle_gamma 90.00
_space_group_name_H-M_alt 'P 4/m m m'
_space_group_IT_number 123
_space_group_name_Hall '-P 4 2'
loop_
_atom_site_label
_atom_site_type_symbol
_atom_site_fract_x
_atom_site_fract_y
_atom_site_fract_z
Y1 Y 0.000 0.000 0.000
Ti1 Ti 0.500 0.500 0.500
Co1 Co 0.000 0.500 0.000
Rh1 Rh 0.000 0.000 0.500
# - energy of formation (eV/f.u.) = 6.98

Entry 9:
# Ti5ZnCo2Rh2 (PBE-GGA, relaxed)
data_Ti5ZnCo2Rh2
_chemical_formula_sum 'Ti10 Zn2 Co4 Rh4'
_cell_length_a 9.939
_cell_length_b 9.939
_cell_length_c 3.054
_cell_angle_alpha 90.00
_cell_angle_beta 90.00
_cell_angle_gamma 90.00
_space_group_name_H-M_alt 'P 4/m b m'
_space_group_IT_number 127
_space_group_name_Hall '-P 4 2ab'
loop_
_atom_site_label
_atom_site_type_symbol
_atom_site_fract_x
_atom_site_fract_y
_atom_site_fract_z
Ti1 Ti 0.000 0.500 0.000
Ti2 Ti 0.096 0.194 0.000
Zn1 Zn 0.000 0.000 0.500
Co1 Co 0.131 0.369 0.500
Rh1 Rh 0.166 0.666 0.500
# - energy of formation (eV/f.u.) = -2.30

Entry 10:
# TiZnCoRh (PBE-GGA, relaxed)
data_TiZnCoRh
_chemical_formula_sum 'Ti4 Zn4 Co4 Rh4'
_cell_length_a 5.969
_cell_length_b 5.969
_cell_length_c 5.969
_cell_angle_alpha 90.00
_cell_angle_beta 90.00
_cell_angle_gamma 90.00
_space_group_name_H-M_alt 'F -4 3 m'
_space_group_IT_number 216
_space_group_name_Hall 'F -4 2 3'
loop_
_atom_site_label
_atom_site_type_symbol
_atom_site_fract_x
_atom_site_fract_y
_atom_site_fract_z
Ti1 Ti 0.000 0.000 0.000
Zn1 Zn 0.000 0.000 0.500
Co1 Co 0.250 0.250 0.750
Rh1 Rh 0.250 0.250 0.250
# - energy of formation (eV/f.u.) = -2.15

Entry 11:
# ZrTi2CoRh (PBE-GGA, relaxed)
data_ZrTi2CoRh
_chemical_formula_sum 'Zr1 Ti2 Co1 Rh1'
_cell_length_a 4.570
_cell_length_b 4.570
_cell_length_c 4.658
_cell_angle_alpha 90.00
_cell_angle_beta 90.00
_cell_angle_gamma 90.00
_space_group_name_H-M_alt 'P 4/m m m'
_space_group_IT_number 123
_space_group_name_Hall '-P 4 2'
loop_
_atom_site_label
_atom_site_type_symbol
_atom_site_fract_x
_atom_site_fract_y
_atom_site_fract_z
Zr1 Zr 0.000 0.000 0.000
Ti1 Ti 0.000 0.500 0.500
Co1 Co 0.500 0.500 0.000
Rh1 Rh 0.500 0.500 0.500
# - energy of formation (eV/f.u.) = 2.61

Entry 12:
# TlCo2Rh (PBE-GGA, relaxed)
data_TlCo2Rh
_chemical_formula_sum 'Tl1 Co2 Rh1'
_cell_length_a 2.826
_cell_length_b 3.743
_cell_length_c 5.676
_cell_angle_alpha 90.00
_cell_angle_beta 90.13
_cell_angle_gamma 90.00
_space_group_name_H-M_alt 'P 1 2/m 1'
_space_group_IT_number 10
loop_
_space_group_symop_operation_xyz
'x,y,z'
'-x,-y,-z'
'-x,y,-z'
'x,-y,z'
loop_
_atom_site_label
_atom_site_type_symbol
_atom_site_fract_x
_atom_site_fract_y
_atom_site_fract_z
Tl1 Tl 0.000 0.000 0.000
Co1 Co 0.499 0.500 0.709
Rh1 Rh 0.000 0.000 0.500
# - energy of formation (eV/f.u.) = 1.50
# - ΔE to the lowest computed polymorph (eV/atom) = 0.074

Entry 13:
# TlCo2Rh (PBE-GGA, relaxed)
data_TlCo2Rh
_chemical_formula_sum 'Tl3 Co6 Rh3'
_cell_length_a 2.9233
_cell_length_b 2.9233
_cell_length_c 24.9197
_cell_angle_alpha 90.00
_cell_angle_beta 90.00
_cell_angle_gamma 120.00
_space_group_name_H-M_alt 'R 3 m'
_space_group_IT_number 160
_space_group_name_Hall 'R 3 -2"'
loop_
_atom_site_label
_atom_site_type_symbol
_atom_site_fract_x
_atom_site_fract_y
_atom_site_fract_z
Tl1 Tl 0.0000 0.0000 0.0000
Co1 Co 0.0000 0.0000 0.4939
Co2 Co 0.0000 0.0000 0.7588
Rh1 Rh 0.0000 0.0000 0.2393
# - energy of formation (eV/f.u.) = 1.96
# - ΔE to the lowest computed polymorph (eV/atom) = 0.189